(1)
# LuAlAgAu GGA-PBE optimized geometry
# ΔE to the lowest computed polymorph = 0.0 kJ per mole of atoms
# magnetization = 0.00 μB/f.u.
# uncorrected energy = -4.13 eV per atom
data_LuAlAgAu
_cell_length_a 6.7264
_cell_length_b 6.7264
_cell_length_c 6.7264
_cell_angle_alpha 90.00
_cell_angle_beta 90.00
_cell_angle_gamma 90.00
_space_group_name_H-M_alt 'F -4 3 m'
_space_group_IT_number 216
_space_group_name_Hall 'F -4 2 3'
loop_
_atom_site_label
_atom_site_fract_x
_atom_site_fract_y
_atom_site_fract_z
Lu1 0.0000 0.0000 0.0000
Al1 0.0000 0.0000 0.5000
Ag1 0.2500 0.2500 0.2500
Au1 0.2500 0.2500 0.7500

(2)
# Na4Al2AgAu GGA-PBE optimized geometry
# uncorrected energy = -2.37 eV per atom
data_Na4Al2AgAu
_cell_length_a 4.8253
_cell_length_b 4.8253
_cell_length_c 6.8040
_cell_angle_alpha 90.00
_cell_angle_beta 90.00
_cell_angle_gamma 90.00
_space_group_name_H-M_alt 'P -4 m 2'
_space_group_IT_number 115
_space_group_name_Hall 'P -4 -2'
loop_
_atom_site_label
_atom_site_fract_x
_atom_site_fract_y
_atom_site_fract_z
Na1 0.0000 0.0000 0.0000
Na2 0.0000 0.5000 0.7499
Na3 0.5000 0.5000 0.5000
Al1 0.0000 0.5000 0.2429
Ag1 0.0000 0.0000 0.5000
Au1 0.5000 0.5000 0.0000